#1
# Li4ZnAg5

An optimized crystal structure of Li4ZnAg5 (PBE-GGA, Alexandria).

The structure in POSCAR format:
```
Li4ZnAg5
1.0
-4.0480 4.0480 2.5776
4.0480 -4.0480 2.5776
4.0480 4.0480 -2.5776
Li Zn Ag
4 1 5
Cartesian
1.9512 1.0586 0.0000
2.9893 -2.0967 2.5776
1.0586 6.1447 0.0000
2.0967 2.9893 2.5776
0.0000 0.0000 3.7908
4.4319 1.3760 0.0209
0.0000 0.0000 1.3152
1.3760 3.6640 0.0209
2.6720 0.3840 2.5985
-0.3840 2.6720 2.5985
```

***

#2
# Li4ZnAg5

An optimized crystal structure of Li4ZnAg5 (PBE-GGA, Alexandria).

The structure in POSCAR format:
```
Li4ZnAg5
1.0
3.2378 0.0000 0.0000
0.0000 3.2378 0.0000
0.0000 0.0000 15.2455
Li Zn Ag
4 1 5
Cartesian
0.0000 0.0000 1.5269
0.0000 0.0000 4.5824
0.0000 0.0000 10.6631
0.0000 0.0000 13.7186
0.0000 0.0000 7.6228
1.6189 1.6189 0.0000
1.6189 1.6189 3.0508
1.6189 1.6189 6.0891
1.6189 1.6189 9.1564
1.6189 1.6189 12.1947
```

***

Tell me which of them is the least stable. Sure, it is #1.

***

#1
# Li4ZnAg3

An optimized crystal structure of Li4ZnAg3 (PBE-GGA, Alexandria).

The structure in POSCAR format:
```
Li4ZnAg3
1.0
9.3806 -1.5075 0.0000
9.3806 1.5075 0.0000
-0.5669 0.0000 4.5761
Li Zn Ag
4 1 3
Cartesian
2.2371 0.0000 0.4117
4.2537 0.0000 3.3978
13.9407 0.0000 1.1782
15.9573 0.0000 4.1644
-0.2834 0.0000 2.2880
6.7456 0.0000 1.8529
9.3806 0.0000 0.0000
11.4488 0.0000 2.7232
```

***

#2
# Li4ZnAg3

An optimized crystal structure of Li4ZnAg3 (PBE-GGA, Alexandria).

The structure in POSCAR format:
```
Li4ZnAg3
1.0
3.2209 0.0000 0.0000
0.0000 3.2209 0.0000
0.0000 0.0000 12.1471
Li Zn Ag
4 1 3
Cartesian
0.0000 0.0000 1.4733
0.0000 0.0000 4.5302
0.0000 0.0000 7.6169
0.0000 0.0000 10.6738
1.6104 1.6104 0.0000
1.6104 1.6104 2.9840
1.6104 1.6104 6.0736
1.6104 1.6104 9.1631
```

***

Tell me which of them is the least stable. Sure, it is #1.

***

#1
# Li2Zn8Ag

An optimized crystal structure of Li2Zn8Ag (PBE-GGA, Alexandria).

The structure in POSCAR format:
```
Li2Zn8Ag
1.0
4.8331 0.0000 0.0000
-1.5525 5.8379 0.0000
-0.8709 -2.1200 5.8387
Li Zn Ag
2 8 1
Cartesian
-0.3764 1.4516 1.8558
2.7860 2.2662 3.9829
-0.3906 3.9415 0.8134
0.3664 -1.5183 5.6176
0.4014 1.0241 4.5340
0.4056 3.4952 3.4531
2.0040 0.2226 2.3855
2.0083 2.6937 1.3047
2.0432 5.2362 0.2211
2.8002 -0.2237 5.0252
-0.4354 -1.0600 2.9193
```

***

#2
# Li2Zn8Ag

An optimized crystal structure of Li2Zn8Ag (PBE-GGA, Alexandria).

The structure in POSCAR format:
```
Li2Zn8Ag
1.0
3.5062 -6.8788 0.0000
3.5062 6.8788 0.0000
-3.0395 0.0000 3.5902
Li Zn Ag
2 8 1
Cartesian
3.5062 4.3253 0.0000
3.5062 -4.3253 0.0000
-0.6917 0.0000 0.9346
-0.4655 1.9121 2.7257
1.9864 2.7078 1.7951
-0.4655 -1.9121 2.7257
4.4383 1.9121 0.8645
1.9864 -2.7078 1.7951
4.4383 -1.9121 0.8645
4.6645 0.0000 2.6556
1.9864 0.0000 1.7951
```

***

Tell me which of them is the least stable. Sure, it is #2.

***

#1
# Li5ZnAg6

An optimized crystal structure of Li5ZnAg6 (PBE-GGA, Alexandria).

The structure in POSCAR format:
```
Li5ZnAg6
1.0
3.8188 -6.8209 0.0000
3.8188 6.8209 0.0000
-2.6275 0.0000 3.6692
Li Zn Ag
5 1 6
Cartesian
0.0000 0.0000 0.0000
2.5051 4.5375 1.8346
3.8188 2.2496 0.0000
3.8188 -2.2496 0.0000
2.5051 -4.5375 1.8346
2.5051 0.0000 1.8346
1.2471 2.2840 0.9146
-0.0826 0.0000 2.7456
1.2471 -2.2840 0.9146
3.7631 2.2840 2.7546
5.0928 0.0000 0.9236
3.7631 -2.2840 2.7546
```

***

#2
# Li5ZnAg6

An optimized crystal structure of Li5ZnAg6 (PBE-GGA, Alexandria).

The structure in POSCAR format:
```
Li5ZnAg6
1.0
4.5538 -4.4455 0.0000
4.5538 4.4455 0.0000
-1.0476 0.0000 4.9076
Li Zn Ag
5 1 6
Cartesian
0.0000 0.0000 0.0000
4.0299 2.9100 2.4538
4.5538 1.4409 0.0000
4.5538 -1.4409 0.0000
4.0299 -2.9100 2.4538
4.0299 0.0000 2.4538
2.0364 1.4810 1.2106
1.4780 0.0000 3.6449
2.0364 -1.4810 1.2106
6.0235 1.4810 3.6970
6.5819 0.0000 1.2627
6.0235 -1.4810 3.6970
```

***

Tell me which of them is the least stable. Sure, it is #2.

***

#1
# LiZn2Ag5

An optimized crystal structure of LiZn2Ag5 (PBE-GGA, Alexandria).

The structure in POSCAR format:
```
LiZn2Ag5
1.0
-1.4852 4.3722 5.3694
1.4852 -4.3722 5.3694
1.4852 4.3722 -5.3694
Li Zn Ag
1 2 5
Cartesian
0.0000 0.0000 0.0000
1.4852 0.0000 2.6576
0.0000 4.3722 2.7118
1.4852 2.3056 -1.4145
1.4852 2.3056 1.4145
0.0000 4.3722 0.0000
0.0000 2.0666 3.9549
0.0000 2.0666 6.7839
```

***

#2
# LiZn2Ag5

An optimized crystal structure of LiZn2Ag5 (PBE-GGA, Alexandria).

The structure in POSCAR format:
```
LiZn2Ag5
1.0
-3.3634 3.3634 2.9448
3.3634 -3.3634 2.9448
3.3634 3.3634 -2.9448
Li Zn Ag
1 2 5
Cartesian
0.0000 0.0000 0.0000
3.3634 0.0000 0.0000
0.0000 3.3634 0.0000
1.6817 1.6817 -1.4724
1.6817 -1.6817 1.4724
-1.6817 1.6817 1.4724
0.0000 0.0000 2.9448
1.6817 1.6817 1.4724
```

***

Tell me which of them is the least stable. Sure, it is #1.

***

#1
# LiZnAg5

An optimized crystal structure of LiZnAg5 (PBE-GGA, Alexandria).

The structure in POSCAR format:
```
LiZnAg5
1.0
4.1512 0.0000 0.0000
0.0000 4.1512 0.0000
0.0000 0.0000 7.3295
Li Zn Ag
1 1 5
Cartesian
0.0000 0.0000 0.0000
2.0756 2.0756 3.6647
0.0000 2.0756 2.0060
0.0000 2.0756 5.3234
2.0756 0.0000 2.0060
2.0756 0.0000 5.3234
2.0756 2.0756 0.0000
```

***

#2
# LiZnAg5

An optimized crystal structure of LiZnAg5 (PBE-GGA, Alexandria).

The structure in POSCAR format:
```
LiZnAg5
1.0
-2.6835 3.5361 3.6676
2.6835 -3.5361 3.6676
2.6835 3.5361 -3.6676
Li Zn Ag
1 1 5
Cartesian
0.0000 0.0000 0.0000
2.6835 0.0000 2.7038
2.6835 1.3210 0.3383
0.0000 0.0000 2.4592
1.3060 3.5361 1.4897
1.3775 0.0000 5.1573
0.0000 2.2152 4.0060
```

***

Tell me which of them is the least stable. Sure, it is #2.

***

#1
# Li4ZnAg

An optimized crystal structure of Li4ZnAg (PBE-GGA, Alexandria).

The structure in POSCAR format:
```
Li4ZnAg
1.0
3.3438 0.0000 0.0000
0.0000 3.3438 0.0000
0.0000 0.0000 8.7896
Li Zn Ag
4 1 1
Cartesian
0.0000 0.0000 1.3662
0.0000 0.0000 7.4235
1.6719 1.6719 2.9585
1.6719 1.6719 5.8311
1.6719 1.6719 0.0000
0.0000 0.0000 4.3948
```

***

#2
# Li4ZnAg

An optimized crystal structure of Li4ZnAg (PBE-GGA, Alexandria).

The structure in POSCAR format:
```
Li4ZnAg
1.0
5.4588 0.0000 0.0000
0.0000 4.6032 0.0000
-2.3000 0.0000 7.6233
Li Zn Ag
8 2 2
Cartesian
-0.8827 1.1508 3.1658
1.0779 1.1508 0.6350
-0.6523 3.4524 7.0178
1.3019 3.4524 4.4216
1.8569 1.1508 3.2017
3.8111 1.1508 0.6055
2.0809 3.4524 6.9883
4.0415 3.4524 4.4575
0.1051 3.4524 1.8910
3.0537 1.1508 5.7323
0.3185 1.1508 5.7030
2.8403 3.4524 1.9204
```

***

#3
# Li4ZnAg

An optimized crystal structure of Li4ZnAg (PBE-GGA, Alexandria).

The structure in POSCAR format:
```
Li4ZnAg
1.0
0.0000 3.5926 3.5926
3.5926 0.0000 3.5926
3.5926 3.5926 0.0000
Li Zn Ag
4 1 1
Cartesian
0.8978 0.8978 0.8978
2.6948 2.6948 0.8978
2.6948 0.8978 2.6948
0.8978 2.6948 2.6948
5.3889 5.3889 5.3889
3.5926 3.5926 3.5926
```

***

Tell me which of them is the least stable. Sure, it is #3.

***

#1
# LiZn6Ag5

An optimized crystal structure of LiZn6Ag5 (PBE-GGA, Alexandria).

The structure in POSCAR format:
```
LiZn6Ag5
1.0
2.2228 -6.6588 0.0000
2.2228 6.6588 0.0000
-0.0794 0.0000 6.4404
Li Zn Ag
1 6 5
Cartesian
0.0000 0.0000 0.0000
2.1591 4.4614 4.8508
2.2071 4.4614 1.5896
2.1995 0.0000 1.5756
2.1666 0.0000 4.8648
2.1591 -4.4614 4.8508
2.2071 -4.4614 1.5896
-0.0397 0.0000 3.2202
2.1831 2.2201 3.2202
2.2228 2.1864 0.0000
2.2228 -2.1864 0.0000
2.1831 -2.2201 3.2202
```

***

#2
# LiZn6Ag5

An optimized crystal structure of LiZn6Ag5 (PBE-GGA, Alexandria).

The structure in POSCAR format:
```
LiZn6Ag5
1.0
4.3779 -6.1171 0.0000
4.3779 6.1171 0.0000
-1.8255 0.0000 3.5704
Li Zn Ag
1 6 5
Cartesian
0.0000 0.0000 0.0000
1.7405 2.0191 0.8922
0.8347 0.0000 2.6820
1.7405 -2.0191 0.8922
5.1897 2.0191 2.6782
6.0955 0.0000 0.8884
5.1897 -2.0191 2.6782
3.4651 4.2026 1.7852
4.3779 2.1022 0.0000
3.4651 0.0000 1.7852
4.3779 -2.1022 0.0000
3.4651 -4.2026 1.7852
```

***

Tell me which of them is the least stable. Sure, it is #1.

***

#1
# Li3Zn3Ag

An optimized crystal structure of Li3Zn3Ag (PBE-GGA, Alexandria).

The structure in POSCAR format:
```
Li3Zn3Ag
1.0
7.6717 0.0000 0.0000
0.0000 7.6717 0.0000
0.0000 0.0000 7.6717
Li Zn Ag
12 12 4
Cartesian
0.5295 1.6781 6.7917
0.8800 4.3654 2.1577
1.6781 6.7917 0.5295
2.1577 0.8800 4.3654
2.9558 3.3063 5.9936
3.3063 5.9936 2.9558
4.3654 2.1577 0.8800
4.7159 7.1421 5.5139
5.5139 4.7159 7.1421
5.9936 2.9558 3.3063
6.7917 0.5295 1.6781
7.1421 5.5139 4.7159
0.6860 4.5218 6.9857
0.8166 6.8550 3.0192
1.6296 1.6296 1.6296
2.2062 6.0420 5.4655
3.0192 0.8166 6.8550
3.1498 3.1498 3.1498
4.5218 6.9857 0.6860
4.6525 4.6525 4.6525
5.4655 2.2062 6.0420
6.0420 5.4655 2.2062
6.8550 3.0192 0.8166
6.9857 0.6860 4.5218
0.7195 3.1163 4.5553
3.1163 4.5553 0.7195
4.5553 0.7195 3.1163
6.9522 6.9522 6.9522
```

***

#2
# Li3Zn3Ag

An optimized crystal structure of Li3Zn3Ag (PBE-GGA, Alexandria).

The structure in POSCAR format:
```
Li3Zn3Ag
1.0
3.3205 1.9171 6.1328
-3.3205 1.9171 6.1328
0.0000 -3.8341 6.1328
Li Zn Ag
6 6 2
Cartesian
-1.7236 0.3979 5.2992
0.5172 -1.6916 5.2992
-1.2064 -1.2937 13.0991
1.2064 1.2937 5.2992
-0.5172 1.6916 13.0991
1.7236 -0.3979 13.0991
-1.5471 0.0694 8.1081
-0.8337 -1.3051 10.2902
0.7134 -1.3745 8.1081
-0.7134 1.3745 10.2902
0.8336 1.3051 8.1081
1.5471 -0.0694 10.2902
0.0000 0.0000 2.9499
0.0000 0.0000 15.4484
```

***

Tell me which of them is the least stable. Sure, it is #1.

***

#1
# LiZn4Ag3

An optimized crystal structure of LiZn4Ag3 (PBE-GGA, Alexandria).

The structure in POSCAR format:
```
LiZn4Ag3
1.0
-1.4256 3.6124 6.7171
1.4256 -3.6124 6.7171
1.4256 3.6124 -6.7171
Li Zn Ag
1 4 3
Cartesian
0.0000 0.0000 0.0000
1.4256 -1.3600 4.7410
0.0000 2.2524 1.9761
1.4256 1.3600 4.7410
0.0000 4.9723 1.9761
1.4256 0.0000 2.3474
0.0000 0.0000 6.7171
0.0000 3.6124 4.3697
```

***

#2
# LiZn4Ag3

An optimized crystal structure of LiZn4Ag3 (PBE-GGA, Alexandria).

The structure in POSCAR format:
```
LiZn4Ag3
1.0
3.2174 0.0000 0.0000
0.0000 3.2174 0.0000
0.0000 0.0000 12.1266
Li Zn Ag
1 4 3
Cartesian
0.0000 0.0000 0.0000
1.6087 1.6087 1.3577
1.6087 1.6087 4.4940
1.6087 1.6087 7.6326
1.6087 1.6087 10.7689
0.0000 0.0000 2.9182
0.0000 0.0000 6.0633
0.0000 0.0000 9.2084
```

***

Tell me which of them is the least stable. Sure, it is #1.